BaSeCl2, optimized geometry, DFT PBE; polymorph energy (0 for the lowest one) = 44.1 kJ per mole of atoms; E_form (uncorrected) = -4.4 eV per formula unit; calculated total energy = -3.3740 eV per atom; DOS(E_F) = 13.10 states/eV per cell
1.0
7.736 0.000 0.000
0.000 7.736 0.000
0.000 0.000 7.736
Ba Se Cl
4 4 8
Direct
0.000 0.000 0.000
0.000 0.500 0.500
0.500 0.000 0.500
0.500 0.500 0.000
0.250 0.250 0.750
0.250 0.750 0.250
0.750 0.250 0.250
0.750 0.750 0.750
0.000 0.000 0.500
0.000 0.500 0.000
0.250 0.250 0.250
0.250 0.750 0.750
0.500 0.000 0.000
0.500 0.500 0.500
0.750 0.250 0.750
0.750 0.750 0.250

TmPa2Pb9, optimized geometry, DFT PBE; calculated total energy = -4.8048 eV per atom; calculated formation energy = -6.6 kJ/mol of atoms; DOS(E_F) = 13.21 states/eV per cell
1.0
4.819 0.000 0.000
0.000 4.819 0.000
0.000 0.000 14.552
Tm Pa Pb
1 2 9
Direct
0.000 0.000 0.000
0.000 0.000 0.338
0.000 0.000 0.662
0.000 0.500 0.167
0.000 0.500 0.500
0.000 0.500 0.833
0.500 0.000 0.167
0.500 0.000 0.500
0.500 0.000 0.833
0.500 0.500 0.000
0.500 0.500 0.333
0.500 0.500 0.667

BeIn, optimized geometry, DFT PBE; polymorph energy (0 for the lowest one) = 64.4 kJ per mole of atoms; calculated total energy = -2.2788 eV per atom; calculated formation energy = 92.0 kJ/mol of atoms; DOS(E_F) = 6.62 states/eV per cell
1.0
5.768 0.000 0.000
0.000 5.768 0.000
0.000 0.000 5.768
Be In
4 4
Direct
0.000 0.000 0.000
0.000 0.500 0.500
0.500 0.000 0.500
0.500 0.500 0.000
0.250 0.250 0.250
0.250 0.750 0.750
0.750 0.250 0.750
0.750 0.750 0.250